Entry 1:
Material: NdCI
Method: DFT, GGA-PBE
State: optimized geometry

Structure (CIF):
```
data_NdCI
_chemical_formula_sum 'Nd4 C4 I4'
_symmetry_space_group_name_H-M 'I m m m'
_symmetry_Int_Tables_number 71
_symmetry_space_group_name_Hall '-I 2 2'
_cell_length_a 4.4628
_cell_length_b 4.4739
_cell_length_c 16.8316
_cell_angle_alpha 90.00
_cell_angle_beta 90.00
_cell_angle_gamma 90.00
loop_
_atom_site_label
_atom_site_fract_x
_atom_site_fract_y
_atom_site_fract_z
Nd1 0.0000 0.0000 0.1096
C1 0.0000 0.3559 0.0000
I1 0.0000 0.0000 0.3244
```

Calculated values
volume: 28.005 Å³ per atom
uncorrected formation energy: -0.44 eV/atom
energy: -5.62 eV/atom



Entry 2:
Material: Nd4CI
Method: DFT, GGA-PBE
State: optimized geometry

Structure (CIF):
```
data_Nd4CI
_chemical_formula_sum 'Nd16 C4 I4'
_symmetry_space_group_name_H-M 'C 1 2/c 1'
_symmetry_Int_Tables_number 15
_symmetry_space_group_name_Hall '-C 2yc'
_cell_length_a 8.5637
_cell_length_b 15.1943
_cell_length_c 6.7516
_cell_angle_alpha 90.00
_cell_angle_beta 121.75
_cell_angle_gamma 90.00
loop_
_atom_site_label
_atom_site_fract_x
_atom_site_fract_y
_atom_site_fract_z
Nd1 0.1795 0.1897 0.2161
Nd2 0.1905 0.0605 0.6945
C1 0.0000 0.0639 0.2500
I1 0.0000 0.4247 0.7500
```

Calculated values
volume: 31.126 Å³ per atom
uncorrected formation energy: -0.30 eV/atom
energy: -5.27 eV/atom



Entry 3:
Material: Nd2CI3
Method: DFT, GGA-PBE
State: optimized geometry

Structure (CIF):
```
data_Nd2CI3
_chemical_formula_sum 'Nd8 C4 I12'
_symmetry_space_group_name_H-M 'C 1 2/m 1'
_symmetry_Int_Tables_number 12
_symmetry_space_group_name_Hall '-C 2y'
_cell_length_a 19.2656
_cell_length_b 4.1574
_cell_length_c 11.6647
_cell_angle_alpha 90.00
_cell_angle_beta 107.52
_cell_angle_gamma 90.00
loop_
_atom_site_label
_atom_site_fract_x
_atom_site_fract_y
_atom_site_fract_z
Nd1 0.0632 0.0000 0.1928
Nd2 0.1149 0.5000 0.9431
C1 0.0199 0.5000 0.0578
I1 0.0790 0.0000 0.7242
I2 0.1342 0.5000 0.3970
I3 0.2174 0.0000 0.1334
```

Calculated values
volume: 37.122 Å³ per atom
uncorrected formation energy: -1.05 eV/atom
energy: -4.95 eV/atom



Entry 4:
Material: Nd3CI3
Method: DFT, GGA-PBE
State: optimized geometry

Structure (CIF):
```
data_Nd3CI3
_chemical_formula_sum 'Nd12 C4 I12'
_symmetry_space_group_name_H-M 'C 1 2/m 1'
_symmetry_Int_Tables_number 12
_symmetry_space_group_name_Hall '-C 2y'
_cell_length_a 9.2274
_cell_length_b 13.0306
_cell_length_c 8.0939
_cell_angle_alpha 90.00
_cell_angle_beta 105.65
_cell_angle_gamma 90.00
loop_
_atom_site_label
_atom_site_fract_x
_atom_site_fract_y
_atom_site_fract_z
Nd1 0.0840 0.0000 0.3279
Nd2 0.2062 0.3537 0.2656
C1 0.1655 0.0000 0.6323
I1 0.0000 0.1702 0.0000
I2 0.0000 0.2686 0.5000
I3 0.1075 0.5000 0.8360
```

Calculated values
volume: 33.469 Å³ per atom
energy above the most stable polymorph in this dataset: 1.84 eV/f.u.
uncorrected formation energy: -0.75 eV/atom
energy: -4.78 eV/atom



Entry 5:
Material: Nd4NiCI2
Method: DFT, GGA-PBE
State: optimized geometry

Structure (CIF):
```
data_Nd4NiCI2
_chemical_formula_sum 'Nd4 Ni1 C1 I2'
_symmetry_space_group_name_H-M 'P 1 2/m 1'
_symmetry_Int_Tables_number 10
_symmetry_space_group_name_Hall '-P 2y'
_cell_length_a 7.2311
_cell_length_b 3.9296
_cell_length_c 8.1493
_cell_angle_alpha 90.00
_cell_angle_beta 106.43
_cell_angle_gamma 90.00
loop_
_atom_site_label
_atom_site_fract_x
_atom_site_fract_y
_atom_site_fract_z
Nd1 0.2008 0.0000 0.1781
Nd2 0.2653 0.5000 0.8224
Ni1 0.5000 0.0000 0.0000
C1 0.0000 0.5000 0.0000
I1 0.0000 0.0000 0.5000
I2 0.5000 0.5000 0.5000
```

Calculated values
volume: 27.763 Å³ per atom
uncorrected formation energy: -0.61 eV/atom
energy: -5.26 eV/atom



Entry 6:
Material: Nd8NiC3I4
Method: DFT, GGA-PBE
State: optimized geometry

Structure (CIF):
```
data_Nd8NiC3I4
_chemical_formula_sum 'Nd16 Ni2 C6 I8'
_symmetry_space_group_name_H-M 'C 1 2/m 1'
_symmetry_Int_Tables_number 12
_symmetry_space_group_name_Hall '-C 2y'
_cell_length_a 13.7356
_cell_length_b 7.9222
_cell_length_c 9.0497
_cell_angle_alpha 90.00
_cell_angle_beta 120.42
_cell_angle_gamma 90.00
loop_
_atom_site_label
_atom_site_fract_x
_atom_site_fract_y
_atom_site_fract_z
Nd1 0.0284 0.2372 0.3225
Nd2 0.2247 0.0000 0.6744
Nd3 0.2347 0.5000 0.6774
Ni1 0.0000 0.5000 0.5000
C1 0.0000 0.0000 0.5000
C2 0.2500 0.2500 0.5000
I1 0.0000 0.0000 0.0000
I2 0.0000 0.5000 0.0000
I3 0.2500 0.2500 0.0000
```

Calculated values
volume: 26.538 Å³ per atom
uncorrected formation energy: -0.63 eV/atom
energy: -5.49 eV/atom



Entry 7:
Material: NdC2IO6
Method: DFT, GGA-PBE
State: optimized geometry

Structure (CIF):
```
data_NdC2IO6
_chemical_formula_sum 'Nd4 C8 I4 O24'
_symmetry_space_group_name_H-M 'C 1 2/c 1'
_symmetry_Int_Tables_number 15
_symmetry_space_group_name_Hall '-C 2yc'
_cell_length_a 9.5420
_cell_length_b 9.4520
_cell_length_c 7.8858
_cell_angle_alpha 90.00
_cell_angle_beta 122.77
_cell_angle_gamma 90.00
loop_
_atom_site_label
_atom_site_fract_x
_atom_site_fract_y
_atom_site_fract_z
Nd1 0.0000 0.0726 0.2500
C1 0.2454 0.3571 0.2253
I1 0.0000 0.3989 0.7500
O1 0.1267 0.0894 0.6121
O2 0.1522 0.2623 0.2233
O3 0.2286 0.4142 0.0605
```

Calculated values
volume: 14.950 Å³ per atom
uncorrected formation energy: -1.73 eV/atom
energy: -7.18 eV/atom



Entry 8:
Material: Nd4PCI2
Method: DFT, GGA-PBE
State: optimized geometry

Structure (CIF):
```
data_Nd4PCI2
_chemical_formula_sum 'Nd4 P1 C1 I2'
_symmetry_space_group_name_H-M 'P 1 2/m 1'
_symmetry_Int_Tables_number 10
_symmetry_space_group_name_Hall '-P 2y'
_cell_length_a 7.1037
_cell_length_b 4.0410
_cell_length_c 8.0954
_cell_angle_alpha 90.00
_cell_angle_beta 106.76
_cell_angle_gamma 90.00
loop_
_atom_site_label
_atom_site_fract_x
_atom_site_fract_y
_atom_site_fract_z
Nd1 0.2041 0.0000 0.1771
Nd2 0.2466 0.5000 0.8184
P1 0.5000 0.0000 0.0000
C1 0.0000 0.5000 0.0000
I1 0.0000 0.0000 0.5000
I2 0.5000 0.5000 0.5000
```

Calculated values
volume: 27.814 Å³ per atom
uncorrected formation energy: -1.03 eV/atom
energy: -5.63 eV/atom



Entry 9:
Material: Nd8PC3I4
Method: DFT, GGA-PBE
State: optimized geometry

Structure (CIF):
```
data_Nd8PC3I4
_chemical_formula_sum 'Nd24 P3 C9 I12'
_symmetry_space_group_name_H-M 'R -3 m'
_symmetry_Int_Tables_number 166
_symmetry_space_group_name_Hall '-R 3 2"'
_cell_length_a 7.9628
_cell_length_b 7.9628
_cell_length_c 23.3386
_cell_angle_alpha 90.00
_cell_angle_beta 90.00
_cell_angle_gamma 120.00
loop_
_atom_site_label
_atom_site_fract_x
_atom_site_fract_y
_atom_site_fract_z
Nd1 0.0000 0.0000 0.2241
Nd2 0.0217 0.5109 0.7743
P1 0.0000 0.0000 0.5000
C1 0.0000 0.5000 0.5000
I1 0.0000 0.0000 0.0000
I2 0.0000 0.5000 0.0000
```

Calculated values
volume: 26.699 Å³ per atom
uncorrected formation energy: -0.86 eV/atom
energy: -5.70 eV/atom



Entry 10:
Material: Nd6Pd2CI3
Method: DFT, GGA-PBE
State: optimized geometry

Structure (CIF):
```
data_Nd6Pd2CI3
_chemical_formula_sum 'Nd12 Pd4 C2 I6'
_symmetry_space_group_name_H-M 'C 1 2/m 1'
_symmetry_Int_Tables_number 12
_symmetry_space_group_name_Hall '-C 2y'
_cell_length_a 7.2125
_cell_length_b 12.4652
_cell_length_c 8.2670
_cell_angle_alpha 90.00
_cell_angle_beta 106.67
_cell_angle_gamma 90.00
loop_
_atom_site_label
_atom_site_fract_x
_atom_site_fract_y
_atom_site_fract_z
Nd1 0.2100 0.1492 0.1837
Nd2 0.2374 0.0000 0.8148
Pd1 0.0000 0.3336 0.0000
C1 0.0000 0.0000 0.0000
I1 0.0000 0.1685 0.5000
I2 0.0000 0.5000 0.5000
```

Calculated values
volume: 29.667 Å³ per atom
uncorrected formation energy: -0.77 eV/atom
energy: -5.17 eV/atom



Entry 11:
Material: PrNdCI
Method: DFT, GGA-PBE
State: optimized geometry

Structure (CIF):
```
data_PrNdCI
_chemical_formula_sum 'Pr3 Nd3 C3 I3'
_symmetry_space_group_name_H-M 'R 3 m'
_symmetry_Int_Tables_number 160
_symmetry_space_group_name_Hall 'R 3 -2"'
_cell_length_a 3.8930
_cell_length_b 3.8930
_cell_length_c 23.5533
_cell_angle_alpha 90.00
_cell_angle_beta 90.00
_cell_angle_gamma 120.00
loop_
_atom_site_label
_atom_site_fract_x
_atom_site_fract_y
_atom_site_fract_z
Pr1 0.0000 0.0000 0.0000
Nd1 0.0000 0.0000 0.7830
C1 0.0000 0.0000 0.3932
I1 0.0000 0.0000 0.2234
```

Calculated values
volume: 25.768 Å³ per atom
uncorrected formation energy: -0.68 eV/atom
energy: -5.76 eV/atom



Entry 12:
Material: Nd4PtCI2
Method: DFT, GGA-PBE
State: optimized geometry

Structure (CIF):
```
data_Nd4PtCI2
_chemical_formula_sum 'Nd4 Pt1 C1 I2'
_symmetry_space_group_name_H-M 'P 1 2/m 1'
_symmetry_Int_Tables_number 10
_symmetry_space_group_name_Hall '-P 2y'
_cell_length_a 7.3577
_cell_length_b 4.0232
_cell_length_c 8.1595
_cell_angle_alpha 90.00
_cell_angle_beta 106.57
_cell_angle_gamma 90.00
loop_
_atom_site_label
_atom_site_fract_x
_atom_site_fract_y
_atom_site_fract_z
Nd1 0.1987 0.0000 0.1774
Nd2 0.2494 0.5000 0.8193
Pt1 0.5000 0.0000 0.0000
C1 0.0000 0.5000 0.0000
I1 0.0000 0.0000 0.5000
I2 0.5000 0.5000 0.5000
```

Calculated values
volume: 28.937 Å³ per atom
uncorrected formation energy: -0.82 eV/atom
energy: -5.50 eV/atom



Entry 13:
Material: Nd6Rh2CI3
Method: DFT, GGA-PBE
State: optimized geometry

Structure (CIF):
```
data_Nd6Rh2CI3
_chemical_formula_sum 'Nd12 Rh4 C2 I6'
_symmetry_space_group_name_H-M 'C 1 2/m 1'
_symmetry_Int_Tables_number 12
_symmetry_space_group_name_Hall '-C 2y'
_cell_length_a 7.1541
_cell_length_b 12.3693
_cell_length_c 8.3385
_cell_angle_alpha 90.00
_cell_angle_beta 106.47
_cell_angle_gamma 90.00
loop_
_atom_site_label
_atom_site_fract_x
_atom_site_fract_y
_atom_site_fract_z
Nd1 0.2136 0.1555 0.1773
Nd2 0.2467 0.5000 0.1782
Rh1 0.0000 0.3330 0.0000
C1 0.0000 0.0000 0.0000
I1 0.0000 0.1669 0.5000
I2 0.0000 0.5000 0.5000
```

Calculated values
volume: 29.484 Å³ per atom
uncorrected formation energy: -0.80 eV/atom
energy: -5.57 eV/atom



Entry 14:
Material: Nd8Rh3CI4
Method: DFT, GGA-PBE
State: optimized geometry

Structure (CIF):
```
data_Nd8Rh3CI4
_chemical_formula_sum 'Nd24 Rh9 C3 I12'
_symmetry_space_group_name_H-M 'R -3 m'
_symmetry_Int_Tables_number 166
_symmetry_space_group_name_Hall '-R 3 2"'
_cell_length_a 8.2748
_cell_length_b 8.2748
_cell_length_c 24.2178
_cell_angle_alpha 90.00
_cell_angle_beta 90.00
_cell_angle_gamma 120.00
loop_
_atom_site_label
_atom_site_fract_x
_atom_site_fract_y
_atom_site_fract_z
Nd1 0.0000 0.0000 0.2300
Nd2 0.0189 0.5095 0.2252
Rh1 0.0000 0.5000 0.5000
C1 0.0000 0.0000 0.5000
I1 0.0000 0.0000 0.0000
I2 0.0000 0.5000 0.0000
```

Calculated values
volume: 29.920 Å³ per atom
uncorrected formation energy: -0.82 eV/atom
energy: -5.55 eV/atom



Entry 15:
Material: Nd6C3S2I
Method: DFT, GGA-PBE
State: optimized geometry

Structure (CIF):
```
data_Nd6C3S2I
_chemical_formula_sum 'Nd12 C6 S4 I2'
_symmetry_space_group_name_H-M 'C 1 2/m 1'
_symmetry_Int_Tables_number 12
_symmetry_space_group_name_Hall '-C 2y'
_cell_length_a 17.8829
_cell_length_b 3.9067
_cell_length_c 8.2714
_cell_angle_alpha 90.00
_cell_angle_beta 107.80
_cell_angle_gamma 90.00
loop_
_atom_site_label
_atom_site_fract_x
_atom_site_fract_y
_atom_site_fract_z
Nd1 0.0120 0.0000 0.2098
Nd2 0.1615 0.5000 0.0993
Nd3 0.1823 0.5000 0.5658
C1 0.0000 0.5000 0.0000
C2 0.1681 0.0000 0.3298
S1 0.1651 0.0000 0.8288
I1 0.0000 0.5000 0.5000
```

Calculated values
volume: 22.926 Å³ per atom
uncorrected formation energy: -0.92 eV/atom
energy: -6.43 eV/atom



Entry 16:
Material: Nd8CS3I4
Method: DFT, GGA-PBE
State: optimized geometry

Structure (CIF):
```
data_Nd8CS3I4
_chemical_formula_sum 'Nd24 C3 S9 I12'
_symmetry_space_group_name_H-M 'R -3 m'
_symmetry_Int_Tables_number 166
_symmetry_space_group_name_Hall '-R 3 2"'
_cell_length_a 8.2222
_cell_length_b 8.2222
_cell_length_c 23.0043
_cell_angle_alpha 90.00
_cell_angle_beta 90.00
_cell_angle_gamma 120.00
loop_
_atom_site_label
_atom_site_fract_x
_atom_site_fract_y
_atom_site_fract_z
Nd1 0.0000 0.0000 0.2286
Nd2 0.0244 0.5122 0.2267
C1 0.0000 0.0000 0.5000
S1 0.0000 0.5000 0.5000
I1 0.0000 0.0000 0.0000
I2 0.0000 0.5000 0.0000
```

Calculated values
volume: 28.059 Å³ per atom
uncorrected formation energy: -1.29 eV/atom
energy: -5.41 eV/atom



Entry 17:
Material: Nd4CSeI2
Method: DFT, GGA-PBE
State: optimized geometry

Structure (CIF):
```
data_Nd4CSeI2
_chemical_formula_sum 'Nd4 C1 Se1 I2'
_symmetry_space_group_name_H-M 'P 1 2/m 1'
_symmetry_Int_Tables_number 10
_symmetry_space_group_name_Hall '-P 2y'
_cell_length_a 7.3473
_cell_length_b 4.0392
_cell_length_c 8.0015
_cell_angle_alpha 90.00
_cell_angle_beta 106.72
_cell_angle_gamma 90.00
loop_
_atom_site_label
_atom_site_fract_x
_atom_site_fract_y
_atom_site_fract_z
Nd1 0.1944 0.0000 0.1790
Nd2 0.2251 0.5000 0.8144
C1 0.0000 0.5000 0.0000
Se1 0.5000 0.0000 0.0000
I1 0.0000 0.0000 0.5000
I2 0.5000 0.5000 0.5000
```

Calculated values
volume: 28.429 Å³ per atom
uncorrected formation energy: -1.05 eV/atom
energy: -5.41 eV/atom



Entry 18:
Material: Nd8Si3CI4
Method: DFT, GGA-PBE
State: optimized geometry

Structure (CIF):
```
data_Nd8Si3CI4
_chemical_formula_sum 'Nd24 Si9 C3 I12'
_symmetry_space_group_name_H-M 'R -3 m'
_symmetry_Int_Tables_number 166
_symmetry_space_group_name_Hall '-R 3 2"'
_cell_length_a 8.4431
_cell_length_b 8.4431
_cell_length_c 23.3539
_cell_angle_alpha 90.00
_cell_angle_beta 90.00
_cell_angle_gamma 120.00
loop_
_atom_site_label
_atom_site_fract_x
_atom_site_fract_y
_atom_site_fract_z
Nd1 0.0000 0.0000 0.2330
Nd2 0.0265 0.5133 0.2286
Si1 0.0000 0.5000 0.5000
C1 0.0000 0.0000 0.5000
I1 0.0000 0.0000 0.0000
I2 0.0000 0.5000 0.0000
```

Calculated values
volume: 30.037 Å³ per atom
uncorrected formation energy: -0.86 eV/atom
energy: -5.23 eV/atom



Entry 19:
Material: TbNdCI
Method: DFT, GGA-PBE
State: optimized geometry

Structure (CIF):
```
data_TbNdCI
_chemical_formula_sum 'Tb3 Nd3 C3 I3'
_symmetry_space_group_name_H-M 'R 3 m'
_symmetry_Int_Tables_number 160
_symmetry_space_group_name_Hall 'R 3 -2"'
_cell_length_a 3.8268
_cell_length_b 3.8268
_cell_length_c 22.9134
_cell_angle_alpha 90.00
_cell_angle_beta 90.00
_cell_angle_gamma 120.00
loop_
_atom_site_label
_atom_site_fract_x
_atom_site_fract_y
_atom_site_fract_z
Tb1 0.0000 0.0000 0.0000
Nd1 0.0000 0.0000 0.7818
C1 0.0000 0.0000 0.3858
I1 0.0000 0.0000 0.5611
```

Calculated values
volume: 24.221 Å³ per atom
uncorrected formation energy: -0.72 eV/atom
energy: -5.76 eV/atom



Entry 20:
Material: TbNd2C2I2
Method: DFT, GGA-PBE
State: optimized geometry

Structure (CIF):
```
data_TbNd2C2I2
_chemical_formula_sum 'Tb2 Nd4 C4 I4'
_symmetry_space_group_name_H-M 'I 4/m m m'
_symmetry_Int_Tables_number 139
_symmetry_space_group_name_Hall '-I 4 2'
_cell_length_a 4.5359
_cell_length_b 4.5359
_cell_length_c 19.5242
_cell_angle_alpha 90.00
_cell_angle_beta 90.00
_cell_angle_gamma 90.00
loop_
_atom_site_label
_atom_site_fract_x
_atom_site_fract_y
_atom_site_fract_z
Tb1 0.0000 0.0000 0.0000
Nd1 0.0000 0.0000 0.4194
C1 0.0000 0.5000 0.0000
I1 0.0000 0.0000 0.1660
```

Calculated values
volume: 28.692 Å³ per atom
uncorrected formation energy: -0.47 eV/atom
energy: -5.57 eV/atom



Size of the total moment / μB per cell: 0.00; 0.00; 1.16; 0.39; 0.00; 0.00; 0.00; 0.00; 0.00; 0.83; 0.00; 0.00; 0.00; 0.00; 0.00; 0.00; 0.00; 0.00; 0.00; 0.00